The following is a GGA-PBE calculation of CeTlIn after structural relaxation, from Alexandria via LeMat-Bulk.

Calculated values
* E above lowest polymorph: 0.0215 eV/atom
* symmetry: P6_3/mmc

Geometry as POSCAR:
```
CeTlIn
1.0
5.171 -0.488 0.000
-2.161 4.722 0.000
0.000 0.000 7.065
In Ce Tl
2 2 2
Direct
0.667 0.833 0.250
0.333 0.167 0.750
0.000 0.500 0.500
0.000 0.500 0.000
0.333 0.167 0.250
0.667 0.833 0.750
```


The following is a GGA-PBE calculation of Ce2TlIn4 after structural relaxation, from Alexandria via LeMat-Bulk.

Calculated values
* E above lowest polymorph: 0.0123 eV/atom
* symmetry: Cmce

Geometry as POSCAR:
```
Ce2TlIn4
1.0
-9.452 3.206 3.877
-2.676 -1.050 -5.654
0.121 -5.002 4.429
In Tl Ce
8 2 4
Direct
0.750 0.750 0.000
0.750 0.001 0.500
0.750 0.250 0.000
0.250 0.999 0.500
0.250 0.750 0.000
0.250 0.499 0.500
0.250 0.250 0.000
0.750 0.501 0.500
0.000 0.000 0.000
0.500 0.500 0.000
0.000 0.384 0.767
0.500 0.884 0.767
0.500 0.116 0.233
0.000 0.616 0.233
```


The following is a GGA-PBE calculation of Ce7Tl3In after structural relaxation, from Alexandria via LeMat-Bulk.

Calculated values
* VASP energy: -4.71 eV per atom
* symmetry: C2/m

Geometry as POSCAR:
```
Ce7Tl3In
1.0
0.029 5.660 1.431
-6.078 -4.431 3.527
4.990 -4.766 4.627
Tl In Ce
3 1 7
Direct
0.000 0.224 0.776
0.000 0.776 0.224
0.500 0.000 0.000
0.500 0.500 0.500
0.796 0.803 0.803
0.719 0.936 0.432
0.719 0.432 0.936
0.281 0.064 0.568
0.204 0.197 0.197
0.281 0.568 0.064
0.000 0.500 0.500
```


The following is a GGA-PBE calculation of Ce4TlIn after structural relaxation, from Alexandria via LeMat-Bulk.

Calculated values
* E above lowest polymorph: 0.0000 eV/atom
* symmetry: C2/m

Geometry as POSCAR:
```
Ce4TlIn
1.0
4.924 0.004 1.813
2.676 5.631 0.321
0.595 -1.655 5.990
In Ce Tl
1 4 1
Direct
0.000 0.000 0.000
0.726 0.574 0.927
0.274 0.073 0.426
0.274 0.426 0.073
0.726 0.927 0.574
0.500 0.500 0.500
```


The following is a GGA-PBE calculation of Ce5TlIn2 after structural relaxation, from Alexandria via LeMat-Bulk.

Calculated values
* E above lowest polymorph: 0.0000 eV/atom
* symmetry: I4/mmm

Geometry as POSCAR:
```
Ce5TlIn2
1.0
6.298 0.102 -2.211
-3.128 5.467 -2.213
-0.061 -0.106 6.675
In Ce Tl
2 5 1
Direct
0.278 0.778 0.500
0.778 0.278 0.500
0.278 0.278 0.500
0.778 0.778 0.500
0.778 0.278 0.000
0.278 0.278 0.000
0.278 0.778 0.000
0.778 0.778 0.000
```


The following is a GGA-PBE calculation of Ce6TlIn3 after structural relaxation, from Alexandria via LeMat-Bulk.

Calculated values
* VASP energy: -4.78 eV per atom
* symmetry: P2_1/c

Geometry as POSCAR:
```
Ce6TlIn3
1.0
-3.619 1.995 -4.275
-5.335 -7.188 1.161
-5.584 5.299 7.154
Ce In Tl
12 6 2
Direct
0.284 0.640 0.751
0.478 0.856 0.450
0.020 0.355 0.450
0.980 0.645 0.550
0.520 0.145 0.950
0.480 0.855 0.050
0.978 0.644 0.950
0.022 0.356 0.050
0.522 0.144 0.550
0.216 0.140 0.749
0.784 0.860 0.251
0.716 0.360 0.249
0.784 0.382 0.751
0.284 0.118 0.251
0.500 0.500 0.000
0.216 0.618 0.249
0.716 0.882 0.749
0.000 0.000 0.500
0.500 0.500 0.500
0.000 0.000 0.000
```


The following is a GGA-PBE calculation of Ce2TlIn4 after structural relaxation, from Alexandria via LeMat-Bulk.

Calculated values
* E above lowest polymorph: 0.0000 eV/atom
* symmetry: I4/mmm

Geometry as POSCAR:
```
Ce2TlIn4
1.0
-4.047 -1.897 0.315
0.270 -1.288 -4.284
6.124 -6.973 4.827
In Ce Tl
4 2 1
Direct
0.750 0.250 0.500
0.250 0.750 0.500
0.852 0.852 0.703
0.148 0.148 0.297
0.399 0.399 0.798
0.601 0.601 0.202
0.000 0.000 0.000
```


The following is a GGA-PBE calculation of CeTlIn3 after structural relaxation, from Alexandria via LeMat-Bulk.

Calculated values
* VASP energy: -3.45 eV per atom
* symmetry: Cmcm

Geometry as POSCAR:
```
CeTlIn3
1.0
-4.396 1.622 4.407
-5.884 2.423 -6.762
3.344 -6.497 5.728
In Tl Ce
6 2 2
Direct
0.750 0.421 0.579
0.000 0.000 0.000
0.500 0.000 0.000
0.750 0.823 0.176
0.250 0.177 0.824
0.250 0.579 0.421
0.750 0.226 0.773
0.250 0.774 0.227
0.750 0.604 0.396
0.250 0.396 0.604
```


The following is a GGA-PBE calculation of Ce8Tl6In after structural relaxation, from Alexandria via LeMat-Bulk.

Calculated values
* VASP energy: -4.36 eV per atom
* symmetry: P-3

Geometry as POSCAR:
```
Ce8Tl6In
1.0
4.470 0.000 0.000
0.000 10.748 0.000
0.000 -5.374 9.308
Tl Ce In
6 8 1
Direct
0.730 0.398 0.909
0.270 0.488 0.398
0.270 0.602 0.091
0.270 0.909 0.512
0.730 0.091 0.488
0.730 0.512 0.602
0.155 0.940 0.212
0.155 0.273 0.060
0.845 0.212 0.273
0.155 0.788 0.727
0.845 0.727 0.940
0.845 0.060 0.788
0.237 0.333 0.667
0.763 0.667 0.333
0.500 0.000 0.000
```


The following is a GGA-PBE calculation of Ce4Tl4In after structural relaxation, from Alexandria via LeMat-Bulk.

Calculated values
* VASP energy: -4.06 eV per atom
* symmetry: I4/m

Geometry as POSCAR:
```
Ce4Tl4In
1.0
6.019 0.000 0.000
3.010 6.639 0.000
3.010 0.000 6.639
Tl Ce In
4 4 1
Direct
0.699 0.685 0.917
0.384 0.917 0.315
0.616 0.083 0.685
0.301 0.315 0.083
0.043 0.316 0.598
0.641 0.402 0.316
0.359 0.598 0.684
0.957 0.684 0.402
0.000 0.000 0.000
```


The following is a GGA-PBE calculation of Ce6Tl3In after structural relaxation, from Alexandria via LeMat-Bulk.

Calculated values
* VASP energy: -4.66 eV per atom
* symmetry: P2_1/c

Geometry as POSCAR:
```
Ce6Tl3In
1.0
-2.056 1.234 5.486
-8.431 0.001 -3.160
-0.758 -10.355 2.017
In Ce Tl
2 12 6
Direct
0.000 0.000 0.000
0.500 0.500 0.500
0.979 0.644 0.951
0.978 0.643 0.549
0.223 0.127 0.751
0.277 0.627 0.749
0.022 0.357 0.451
0.522 0.143 0.951
0.479 0.856 0.451
0.777 0.873 0.249
0.021 0.356 0.049
0.723 0.373 0.251
0.521 0.144 0.549
0.478 0.857 0.049
0.703 0.873 0.751
0.297 0.127 0.249
0.797 0.373 0.749
0.000 0.000 0.500
0.500 0.500 0.000
0.203 0.627 0.251
```


The following is a GGA-PBE calculation of Ce2TlIn5 after structural relaxation, from Alexandria via LeMat-Bulk.

Calculated values
* VASP energy: -3.86 eV per atom
* symmetry: Pbam

Geometry as POSCAR:
```
Ce2TlIn5
1.0
-2.649 1.267 3.702
5.135 -1.239 4.098
4.140 12.640 -1.365
In Ce Tl
10 4 2
Direct
0.500 0.246 0.873
0.500 0.746 0.627
0.000 0.001 0.248
0.000 0.999 0.752
0.000 0.501 0.252
0.500 0.754 0.127
0.000 0.000 0.000
0.500 0.254 0.373
0.000 0.500 0.500
0.000 0.499 0.748
0.500 0.749 0.875
0.500 0.751 0.375
0.500 0.249 0.625
0.500 0.251 0.125
0.000 0.500 0.000
0.000 0.000 0.500
```


The following is a GGA-PBE calculation of Ce6TlIn5 after structural relaxation, from Alexandria via LeMat-Bulk.

Calculated values
* VASP energy: -4.65 eV per atom
* symmetry: Immm

Geometry as POSCAR:
```
Ce6TlIn5
1.0
0.188 -0.566 -4.758
8.194 -2.007 2.979
-5.507 -6.400 2.960
In Ce Tl
5 6 1
Direct
0.500 0.500 0.500
0.500 0.831 0.169
0.500 0.169 0.831
0.000 0.334 0.666
0.000 0.666 0.334
0.750 0.583 0.917
0.250 0.417 0.083
0.750 0.250 0.250
0.250 0.750 0.750
0.750 0.917 0.583
0.250 0.083 0.417
0.000 0.000 0.000
```


The following is a GGA-PBE calculation of Ce8Tl2In after structural relaxation, from Alexandria via LeMat-Bulk.

Calculated values
* VASP energy: -5.05 eV per atom
* symmetry: C2/m

Geometry as POSCAR:
```
Ce8Tl2In
1.0
5.646 1.043 0.000
1.737 8.384 0.000
0.868 4.192 7.167
Ce Tl In
8 2 1
Direct
0.089 0.727 0.191
0.500 0.771 0.457
0.911 0.273 0.809
0.649 0.594 0.000
0.351 0.406 0.000
0.500 0.229 0.543
0.089 0.918 0.809
0.911 0.082 0.191
0.000 0.689 0.622
0.000 0.311 0.378
0.500 0.000 0.000
```


The following is a GGA-PBE calculation of Ce2Tl3In3 after structural relaxation, from Alexandria via LeMat-Bulk.

Calculated values
* VASP energy: -3.71 eV per atom
* symmetry: Pmmm

Geometry as POSCAR:
```
Ce2Tl3In3
1.0
-4.590 1.175 0.615
-0.312 -3.104 3.605
2.568 6.836 6.109
In Tl Ce
3 3 2
Direct
0.500 0.000 0.000
0.500 0.500 0.246
0.500 0.500 0.754
0.500 0.000 0.500
0.000 0.500 0.500
0.000 0.500 0.000
0.000 0.000 0.751
0.000 0.000 0.249
```


The following is a GGA-PBE calculation of CeTlIn after structural relaxation, from Alexandria via LeMat-Bulk.

Calculated values
* E above lowest polymorph: 0.1046 eV/atom
* symmetry: I4mm

Geometry as POSCAR:
```
CeTlIn
1.0
3.648 0.000 0.000
0.000 3.648 0.000
-1.824 -1.824 6.347
In Tl Ce
1 1 1
Direct
0.674 0.674 0.348
0.324 0.324 0.649
0.002 0.002 0.004
```


The following is a GGA-PBE calculation of Ce4Tl5In after structural relaxation, from Alexandria via LeMat-Bulk.

Calculated values
* E above lowest polymorph: 0.3870 eV/atom
* symmetry: Pmmn

Geometry as POSCAR:
```
Ce4Tl5In
1.0
8.765 0.000 0.000
0.000 11.451 0.000
0.000 0.000 6.637
Tl In Ce
10 2 8
Direct
0.821 0.258 0.255
0.666 0.500 0.000
0.821 0.742 0.255
0.821 0.742 0.745
0.334 0.000 0.500
0.179 0.758 0.755
0.179 0.242 0.755
0.179 0.242 0.245
0.179 0.758 0.245
0.821 0.258 0.745
0.330 0.500 0.500
0.670 0.000 0.000
0.498 0.251 0.000
0.502 0.751 0.500
0.502 0.249 0.500
0.979 0.000 0.285
0.021 0.500 0.785
0.979 0.000 0.715
0.498 0.749 0.000
0.021 0.500 0.215
```


The following is a GGA-PBE calculation of Ce6TlIn after structural relaxation, from Alexandria via LeMat-Bulk.

Calculated values
* E above lowest polymorph: 0.0000 eV/atom
* symmetry: P4/mmm

Geometry as POSCAR:
```
Ce6TlIn
1.0
4.815 0.000 0.000
0.000 4.815 0.000
0.000 0.000 9.629
Ce In Tl
6 1 1
Direct
0.500 0.000 0.252
0.500 0.000 0.748
0.000 0.500 0.252
0.500 0.500 0.500
0.000 0.500 0.748
0.500 0.500 0.000
0.000 0.000 0.500
0.000 0.000 0.000
```


The following is a GGA-PBE calculation of Ce4TlIn2 after structural relaxation, from Alexandria via LeMat-Bulk.

Calculated values
* E above lowest polymorph: 0.3168 eV/atom
* symmetry: I4/mmm

Geometry as POSCAR:
```
Ce4TlIn2
1.0
5.756 0.001 -1.739
-0.525 5.732 -1.740
-0.898 -0.984 7.424
In Ce Tl
2 4 1
Direct
0.375 0.375 0.751
0.625 0.625 0.249
0.250 0.750 0.500
0.000 0.500 0.000
0.500 0.000 0.000
0.750 0.250 0.500
0.000 0.000 0.000
```


The following is a GGA-PBE calculation of Ce4Tl3In after structural relaxation, from Alexandria via LeMat-Bulk.

Calculated values
* E above lowest polymorph: 0.2773 eV/atom
* symmetry: C2/m

Geometry as POSCAR:
```
Ce4Tl3In
1.0
4.562 0.000 0.000
0.000 7.217 -0.518
-2.281 -2.326 7.366
Ce In Tl
4 1 3
Direct
0.311 0.563 0.623
0.356 0.234 0.712
0.644 0.766 0.288
0.689 0.437 0.377
0.500 0.000 0.000
0.863 0.923 0.726
0.137 0.077 0.274
0.000 0.500 0.000
```


V readings, ordered: 27.5; 28.5; 30.2; 25.8; 28.6; 28.2; 28.6; 28.3; 29.8; 29.5; 28.5; 26.4; 27.3; 29.7; 27.1; 28.2; 33.3; 27.9; 32.2; 29.6 A^3/atom